# SnHgTeO, relaxed, DFT PBE
# Energy relative to the lowest polymorph listed for this composition   40 meV per atom
# Volume   451.0 Å³ per cell
data_SnHgTeO
_chemical_formula_sum 'Sn4 Hg4 Te4 O4'
_space_group_name_H-M_alt 'P 1'
_space_group_IT_number 1
_cell_length_a 5.919
_cell_length_b 5.023
_cell_length_c 15.169
_cell_angle_alpha 90.00
_cell_angle_beta 90.00
_cell_angle_gamma 90.00
loop_
_space_group_symop_operation_xyz
'x,y,z'
loop_
_atom_site_label
_atom_site_type_symbol
_atom_site_fract_x
_atom_site_fract_y
_atom_site_fract_z
_atom_site_occupancy
Sn1 Sn 0.124 0.250 0.176 1
Sn2 Sn 0.376 0.750 0.676 1
Sn3 Sn 0.624 0.250 0.324 1
Sn4 Sn 0.876 0.750 0.824 1
Hg1 Hg 0.225 0.750 0.436 1
Hg2 Hg 0.275 0.250 0.936 1
Hg3 Hg 0.725 0.750 0.064 1
Hg4 Hg 0.775 0.250 0.564 1
Te1 Te 0.232 0.750 0.074 1
Te2 Te 0.268 0.250 0.574 1
Te3 Te 0.732 0.750 0.426 1
Te4 Te 0.768 0.250 0.926 1
O1 O 0.208 0.750 0.792 1
O2 O 0.292 0.250 0.292 1
O3 O 0.708 0.750 0.708 1
O4 O 0.792 0.250 0.208 1

# SnHgTeO, relaxed, DFT PBE
# Energy relative to the lowest polymorph listed for this composition   508 meV per atom
# Volume   192.2 Å³ per cell
data_SnHgTeO
_chemical_formula_sum 'Sn2 Hg2 Te2 O2'
_space_group_name_H-M_alt 'P 1'
_space_group_IT_number 1
_cell_length_a 4.480
_cell_length_b 4.480
_cell_length_c 9.575
_cell_angle_alpha 90.00
_cell_angle_beta 90.00
_cell_angle_gamma 90.00
loop_
_space_group_symop_operation_xyz
'x,y,z'
loop_
_atom_site_label
_atom_site_type_symbol
_atom_site_fract_x
_atom_site_fract_y
_atom_site_fract_z
_atom_site_occupancy
Sn1 Sn 0.250 0.750 0.000 1
Sn2 Sn 0.750 0.250 0.000 1
Hg1 Hg 0.250 0.250 0.276 1
Hg2 Hg 0.750 0.750 0.724 1
Te1 Te 0.250 0.250 0.712 1
Te2 Te 0.750 0.750 0.288 1
O1 O 0.250 0.250 0.516 1
O2 O 0.750 0.750 0.484 1

# SnHgTeO, relaxed, DFT PBE
# Energy relative to the lowest polymorph listed for this composition   58 meV per atom
# Volume   187.8 Å³ per cell
data_SnHgTeO
_chemical_formula_sum 'Sn2 Hg2 Te2 O2'
_space_group_name_H-M_alt 'P 1'
_space_group_IT_number 1
_cell_length_a 4.507
_cell_length_b 4.507
_cell_length_c 9.243
_cell_angle_alpha 90.00
_cell_angle_beta 90.00
_cell_angle_gamma 90.00
loop_
_space_group_symop_operation_xyz
'x,y,z'
loop_
_atom_site_label
_atom_site_type_symbol
_atom_site_fract_x
_atom_site_fract_y
_atom_site_fract_z
_atom_site_occupancy
Sn1 Sn 0.250 0.250 0.040 1
Sn2 Sn 0.750 0.750 0.960 1
Hg1 Hg 0.250 0.250 0.702 1
Hg2 Hg 0.750 0.750 0.298 1
Te1 Te 0.250 0.250 0.346 1
Te2 Te 0.750 0.750 0.654 1
O1 O 0.250 0.750 0.000 1
O2 O 0.750 0.250 0.000 1

# SnHgTeO, relaxed, DFT PBE
# Energy relative to the lowest polymorph listed for this composition   139 meV per atom
# Volume   196.6 Å³ per cell
data_SnHgTeO
_chemical_formula_sum 'Sn2 Hg2 Te2 O2'
_space_group_name_H-M_alt 'P 1'
_space_group_IT_number 1
_cell_length_a 4.129
_cell_length_b 4.129
_cell_length_c 13.316
_cell_angle_alpha 90.00
_cell_angle_beta 90.00
_cell_angle_gamma 120.00
loop_
_space_group_symop_operation_xyz
'x,y,z'
loop_
_atom_site_label
_atom_site_type_symbol
_atom_site_fract_x
_atom_site_fract_y
_atom_site_fract_z
_atom_site_occupancy
Sn1 Sn 0.333 0.667 0.000 1
Sn2 Sn 0.667 0.333 0.500 1
Hg1 Hg 0.000 0.000 0.213 1
Hg2 Hg 0.000 0.000 0.713 1
Te1 Te 0.333 0.667 0.330 1
Te2 Te 0.667 0.333 0.830 1
O1 O 0.000 0.000 0.045 1
O2 O 0.000 0.000 0.545 1

# SnHgTeO, relaxed, DFT PBE
# Energy relative to the lowest polymorph listed for this composition   149 meV per atom
# Volume   823.6 Å³ per cell
data_SnHgTeO
_chemical_formula_sum 'Sn8 Hg8 Te8 O8'
_space_group_name_H-M_alt 'P 1'
_space_group_IT_number 1
_cell_length_a 7.572
_cell_length_b 7.979
_cell_length_c 13.632
_cell_angle_alpha 90.00
_cell_angle_beta 90.00
_cell_angle_gamma 90.00
loop_
_space_group_symop_operation_xyz
'x,y,z'
loop_
_atom_site_label
_atom_site_type_symbol
_atom_site_fract_x
_atom_site_fract_y
_atom_site_fract_z
_atom_site_occupancy
Sn1 Sn 0.023 0.204 0.002 1
Sn2 Sn 0.023 0.296 0.502 1
Sn3 Sn 0.477 0.704 0.002 1
Sn4 Sn 0.477 0.796 0.502 1
Sn5 Sn 0.523 0.204 0.498 1
Sn6 Sn 0.523 0.296 0.998 1
Sn7 Sn 0.977 0.704 0.498 1
Sn8 Sn 0.977 0.796 0.998 1
Hg1 Hg 0.191 0.007 0.690 1
Hg2 Hg 0.191 0.493 0.190 1
Hg3 Hg 0.309 0.507 0.690 1
Hg4 Hg 0.309 0.993 0.190 1
Hg5 Hg 0.691 0.007 0.810 1
Hg6 Hg 0.691 0.493 0.310 1
Hg7 Hg 0.809 0.507 0.810 1
Hg8 Hg 0.809 0.993 0.310 1
Te1 Te 0.167 0.504 0.876 1
Te2 Te 0.167 0.996 0.376 1
Te3 Te 0.333 0.004 0.876 1
Te4 Te 0.333 0.496 0.376 1
Te5 Te 0.667 0.504 0.624 1
Te6 Te 0.667 0.996 0.124 1
Te7 Te 0.833 0.004 0.624 1
Te8 Te 0.833 0.496 0.124 1
O1 O 0.235 0.237 0.102 1
O2 O 0.235 0.263 0.602 1
O3 O 0.265 0.737 0.102 1
O4 O 0.265 0.763 0.602 1
O5 O 0.735 0.237 0.398 1
O6 O 0.735 0.263 0.898 1
O7 O 0.765 0.737 0.398 1
O8 O 0.765 0.763 0.898 1

# SnHgTeO, relaxed, DFT PBE
# Energy relative to the lowest polymorph listed for this composition   9 meV per atom
# Volume   224.2 Å³ per cell
data_SnHgTeO
_chemical_formula_sum 'Sn2 Hg2 Te2 O2'
_space_group_name_H-M_alt 'P 1'
_space_group_IT_number 1
_cell_length_a 7.614
_cell_length_b 7.614
_cell_length_c 5.804
_cell_angle_alpha 90.00
_cell_angle_beta 90.00
_cell_angle_gamma 138.22
loop_
_space_group_symop_operation_xyz
'x,y,z'
loop_
_atom_site_label
_atom_site_type_symbol
_atom_site_fract_x
_atom_site_fract_y
_atom_site_fract_z
_atom_site_occupancy
Sn1 Sn 0.080 0.920 0.500 1
Sn2 Sn 0.920 0.080 0.000 1
Hg1 Hg 0.335 0.665 0.460 1
Hg2 Hg 0.665 0.335 0.960 1
Te1 Te 0.340 0.660 0.959 1
Te2 Te 0.660 0.340 0.459 1
O1 O 0.046 0.954 0.840 1
O2 O 0.954 0.046 0.340 1

# SnHgTeO, relaxed, DFT PBE
# Energy relative to the lowest polymorph listed for this composition   141 meV per atom
# Volume   422.1 Å³ per cell
data_SnHgTeO
_chemical_formula_sum 'Sn4 Hg4 Te4 O4'
_space_group_name_H-M_alt 'P 1'
_space_group_IT_number 1
_cell_length_a 7.177
_cell_length_b 7.461
_cell_length_c 7.883
_cell_angle_alpha 90.00
_cell_angle_beta 90.00
_cell_angle_gamma 90.00
loop_
_space_group_symop_operation_xyz
'x,y,z'
loop_
_atom_site_label
_atom_site_type_symbol
_atom_site_fract_x
_atom_site_fract_y
_atom_site_fract_z
_atom_site_occupancy
Sn1 Sn 0.235 0.061 0.487 1
Sn2 Sn 0.265 0.939 0.987 1
Sn3 Sn 0.735 0.439 0.513 1
Sn4 Sn 0.765 0.561 0.013 1
Hg1 Hg 0.172 0.551 0.330 1
Hg2 Hg 0.328 0.449 0.830 1
Hg3 Hg 0.672 0.949 0.670 1
Hg4 Hg 0.828 0.051 0.170 1
Te1 Te 0.019 0.256 0.825 1
Te2 Te 0.481 0.744 0.325 1
Te3 Te 0.519 0.244 0.175 1
Te4 Te 0.981 0.756 0.675 1
O1 O 0.068 0.896 0.176 1
O2 O 0.432 0.104 0.676 1
O3 O 0.568 0.604 0.824 1
O4 O 0.932 0.396 0.324 1

# SnHgTeO, relaxed, DFT PBE
# Energy relative to the lowest polymorph listed for this composition   359 meV per atom
# Volume   193.7 Å³ per cell
data_SnHgTeO
_chemical_formula_sum 'Sn2 Hg2 Te2 O2'
_space_group_name_H-M_alt 'P 1'
_space_group_IT_number 1
_cell_length_a 4.512
_cell_length_b 4.512
_cell_length_c 9.512
_cell_angle_alpha 90.00
_cell_angle_beta 90.00
_cell_angle_gamma 90.00
loop_
_space_group_symop_operation_xyz
'x,y,z'
loop_
_atom_site_label
_atom_site_type_symbol
_atom_site_fract_x
_atom_site_fract_y
_atom_site_fract_z
_atom_site_occupancy
Sn1 Sn 0.250 0.250 0.185 1
Sn2 Sn 0.750 0.750 0.815 1
Hg1 Hg 0.250 0.250 0.556 1
Hg2 Hg 0.750 0.750 0.444 1
Te1 Te 0.250 0.250 0.870 1
Te2 Te 0.750 0.750 0.130 1
O1 O 0.250 0.750 0.500 1
O2 O 0.750 0.250 0.500 1

# SnHgTeO, relaxed, DFT PBE
# Energy relative to the lowest polymorph listed for this composition   206 meV per atom
# Volume   202.8 Å³ per cell
data_SnHgTeO
_chemical_formula_sum 'Sn2 Hg2 Te2 O2'
_space_group_name_H-M_alt 'P 1'
_space_group_IT_number 1
_cell_length_a 4.521
_cell_length_b 4.521
_cell_length_c 9.918
_cell_angle_alpha 90.00
_cell_angle_beta 90.00
_cell_angle_gamma 90.00
loop_
_space_group_symop_operation_xyz
'x,y,z'
loop_
_atom_site_label
_atom_site_type_symbol
_atom_site_fract_x
_atom_site_fract_y
_atom_site_fract_z
_atom_site_occupancy
Sn1 Sn 0.250 0.250 0.183 1
Sn2 Sn 0.750 0.750 0.817 1
Hg1 Hg 0.250 0.750 0.500 1
Hg2 Hg 0.750 0.250 0.500 1
Te1 Te 0.250 0.250 0.781 1
Te2 Te 0.750 0.750 0.219 1
O1 O 0.250 0.250 0.981 1
O2 O 0.750 0.750 0.019 1

# SnHgTeO, relaxed, DFT PBE
# Energy relative to the lowest polymorph listed for this composition   121 meV per atom
# Volume   203.8 Å³ per cell
data_SnHgTeO
_chemical_formula_sum 'Sn2 Hg2 Te2 O2'
_space_group_name_H-M_alt 'P 1'
_space_group_IT_number 1
_cell_length_a 8.000
_cell_length_b 8.000
_cell_length_c 6.484
_cell_angle_alpha 90.00
_cell_angle_beta 90.00
_cell_angle_gamma 150.60
loop_
_space_group_symop_operation_xyz
'x,y,z'
loop_
_atom_site_label
_atom_site_type_symbol
_atom_site_fract_x
_atom_site_fract_y
_atom_site_fract_z
_atom_site_occupancy
Sn1 Sn 0.152 0.848 0.500 1
Sn2 Sn 0.848 0.152 0.000 1
Hg1 Hg 0.447 0.553 0.495 1
Hg2 Hg 0.553 0.447 0.995 1
Te1 Te 0.177 0.823 0.020 1
Te2 Te 0.823 0.177 0.520 1
O1 O 0.413 0.587 0.002 1
O2 O 0.587 0.413 0.502 1

# SnHgTeO, relaxed, DFT PBE
# Energy relative to the lowest polymorph listed for this composition   122 meV per atom
# Volume   407.7 Å³ per cell
data_SnHgTeO
_chemical_formula_sum 'Sn4 Hg4 Te4 O4'
_space_group_name_H-M_alt 'P 1'
_space_group_IT_number 1
_cell_length_a 6.494
_cell_length_b 4.079
_cell_length_c 15.391
_cell_angle_alpha 90.00
_cell_angle_beta 90.00
_cell_angle_gamma 90.00
loop_
_space_group_symop_operation_xyz
'x,y,z'
loop_
_atom_site_label
_atom_site_type_symbol
_atom_site_fract_x
_atom_site_fract_y
_atom_site_fract_z
_atom_site_occupancy
Sn1 Sn 0.232 0.250 0.096 1
Sn2 Sn 0.268 0.750 0.596 1
Sn3 Sn 0.732 0.250 0.404 1
Sn4 Sn 0.768 0.750 0.904 1
Hg1 Hg 0.237 0.750 0.302 1
Hg2 Hg 0.263 0.250 0.802 1
Hg3 Hg 0.737 0.750 0.198 1
Hg4 Hg 0.763 0.250 0.698 1
Te1 Te 0.240 0.250 0.426 1
Te2 Te 0.260 0.750 0.926 1
Te3 Te 0.740 0.250 0.074 1
Te4 Te 0.760 0.750 0.574 1
O1 O 0.232 0.750 0.161 1
O2 O 0.268 0.250 0.661 1
O3 O 0.732 0.750 0.339 1
O4 O 0.768 0.250 0.839 1

# SnHgTeO, relaxed, DFT PBE
# Energy relative to the lowest polymorph listed for this composition   487 meV per atom
# Volume   218.5 Å³ per cell
data_SnHgTeO
_chemical_formula_sum 'Sn2 Hg2 Te2 O2'
_space_group_name_H-M_alt 'P 1'
_space_group_IT_number 1
_cell_length_a 4.893
_cell_length_b 4.893
_cell_length_c 9.127
_cell_angle_alpha 90.00
_cell_angle_beta 90.00
_cell_angle_gamma 90.00
loop_
_space_group_symop_operation_xyz
'x,y,z'
loop_
_atom_site_label
_atom_site_type_symbol
_atom_site_fract_x
_atom_site_fract_y
_atom_site_fract_z
_atom_site_occupancy
Sn1 Sn 0.250 0.250 0.222 1
Sn2 Sn 0.750 0.750 0.778 1
Hg1 Hg 0.250 0.250 0.677 1
Hg2 Hg 0.750 0.750 0.323 1
Te1 Te 0.250 0.750 0.000 1
Te2 Te 0.750 0.250 0.000 1
O1 O 0.250 0.250 0.433 1
O2 O 0.750 0.750 0.567 1